Entry 1:
# PBE-GGA Pm2Ho5Th, relaxed
# * Fermi-level density of states: 11.3 states/eV/f.u.
# * final energy: -4.949 eV per atom
# * density: 8.7 Mg/m³
# * energy of formation: 0.028 eV/atom
data_Pm2Ho5Th
_chemical_formula_sum 'Pm4 Ho10 Th2'
_symmetry_space_group_name_H-M 'P b a m'
_symmetry_Int_Tables_number 55
_symmetry_space_group_name_Hall '-P 2 2ab'
_cell_length_a 7.112
_cell_length_b 14.255
_cell_length_c 5.058
_cell_angle_alpha 90.00
_cell_angle_beta 90.00
_cell_angle_gamma 90.00
loop_
_atom_site_label
_atom_site_type_symbol
_atom_site_fract_x
_atom_site_fract_y
_atom_site_fract_z
Pm1 Pm 0.249 0.124 0.000
Ho1 Ho 0.000 0.500 0.500
Ho2 Ho 0.006 0.249 0.500
Ho3 Ho 0.241 0.877 0.000
Th1 Th 0.000 0.000 0.500



Entry 2:
# PBE-GGA Pm2HoTh3, relaxed
# * Fermi-level density of states: 7.6 states/eV/f.u.
# * final energy: -5.864 eV per atom
# * density: 9.6 Mg/m³
# * energy of formation: 0.192 eV/atom
data_Pm2HoTh3
_chemical_formula_sum 'Pm8 Ho4 Th12'
_symmetry_space_group_name_H-M 'C m c m'
_symmetry_Int_Tables_number 63
_symmetry_space_group_name_Hall '-C 2c 2'
_cell_length_a 10.286
_cell_length_b 11.398
_cell_length_c 6.769
_cell_angle_alpha 90.00
_cell_angle_beta 90.00
_cell_angle_gamma 90.00
loop_
_atom_site_label
_atom_site_type_symbol
_atom_site_fract_x
_atom_site_fract_y
_atom_site_fract_z
Pm1 Pm 0.167 0.230 0.250
Ho1 Ho 0.000 0.271 0.750
Th1 Th 0.000 0.000 0.000
Th2 Th 0.166 0.500 0.000



Entry 3:
# PBE-GGA Pm12HoTh7, relaxed
# * Fermi-level density of states: 43.0 states/eV/f.u.
# * final energy: -4.791 eV per atom
# * density: 7.5 Mg/m³
# * energy of formation: 0.885 eV/atom
data_Pm12HoTh7
_chemical_formula_sum 'Pm24 Ho2 Th14'
_symmetry_space_group_name_H-M 'I m -3'
_symmetry_Int_Tables_number 204
_symmetry_space_group_name_Hall '-I 2 2 3'
_cell_length_a 11.586
_cell_length_b 11.586
_cell_length_c 11.586
_cell_angle_alpha 90.00
_cell_angle_beta 90.00
_cell_angle_gamma 90.00
loop_
_atom_site_label
_atom_site_type_symbol
_atom_site_fract_x
_atom_site_fract_y
_atom_site_fract_z
Pm1 Pm 0.000 0.302 0.227
Ho1 Ho 0.000 0.000 0.000
Th1 Th 0.000 0.000 0.500
Th2 Th 0.250 0.250 0.250



Entry 4:
# PBE-GGA Pm3Ho3Th, relaxed
# * Fermi-level density of states: 11.1 states/eV/f.u.
# * final energy: -4.823 eV per atom
# * density: 8.1 Mg/m³
# * energy of formation: 0.235 eV/atom
data_Pm3Ho3Th
_chemical_formula_sum 'Pm18 Ho18 Th6'
_symmetry_space_group_name_H-M 'R -3'
_symmetry_Int_Tables_number 148
_symmetry_space_group_name_Hall '-R 3'
_cell_length_a 8.6728
_cell_length_b 8.6728
_cell_length_c 21.9625
_cell_angle_alpha 90.00
_cell_angle_beta 90.00
_cell_angle_gamma 120.00
loop_
_atom_site_label
_atom_site_type_symbol
_atom_site_fract_x
_atom_site_fract_y
_atom_site_fract_z
Pm1 Pm 0.0451 0.4469 0.3827
Ho1 Ho 0.0034 0.2336 0.5582
Th1 Th 0.0000 0.0000 0.1563



Entry 5:
# PBE-GGA Pm7Ho2Th2, relaxed
# * Fermi-level density of states: 16.2 states/eV/f.u.
# * final energy: -5.031 eV per atom
# * density: 8.1 Mg/m³
# * energy of formation: 0.174 eV/atom
data_Pm7Ho2Th2
_chemical_formula_sum 'Pm14 Ho4 Th4'
_symmetry_space_group_name_H-M 'C 1 2/m 1'
_symmetry_Int_Tables_number 12
_symmetry_space_group_name_Hall '-C 2y'
_cell_length_a 11.377
_cell_length_b 11.498
_cell_length_c 6.143
_cell_angle_alpha 90.00
_cell_angle_beta 112.25
_cell_angle_gamma 90.00
loop_
_atom_site_label
_atom_site_type_symbol
_atom_site_fract_x
_atom_site_fract_y
_atom_site_fract_z
Pm1 Pm 0.000 0.000 0.000
Pm2 Pm 0.178 0.234 0.171
Pm3 Pm 0.233 0.000 0.591
Ho1 Ho 0.000 0.222 0.500
Th1 Th 0.074 0.500 0.803



Entry 6:
# PBE-GGA Pm6Ho12Th, relaxed
# * Fermi-level density of states: 30.0 states/eV/f.u.
# * final energy: -4.633 eV per atom
# * density: 8.2 Mg/m³
# * energy of formation: 0.149 eV/atom
data_Pm6Ho12Th
_chemical_formula_sum 'Pm18 Ho36 Th3'
_symmetry_space_group_name_H-M 'R -3'
_symmetry_Int_Tables_number 148
_symmetry_space_group_name_Hall '-R 3'
_cell_length_a 11.9936
_cell_length_b 11.9936
_cell_length_c 15.0633
_cell_angle_alpha 90.00
_cell_angle_beta 90.00
_cell_angle_gamma 120.00
loop_
_atom_site_label
_atom_site_type_symbol
_atom_site_fract_x
_atom_site_fract_y
_atom_site_fract_z
Pm1 Pm 0.0108 0.5894 0.1764
Ho1 Ho 0.0224 0.1792 0.6898
Ho2 Ho 0.0441 0.1881 0.9148
Th1 Th 0.0000 0.0000 0.5000



Question: Which value of density does entry 3 give?
Answer: 7.5 Mg/m³



Question: Among the records above, which one has the highest Fermi-level density of states?
Answer: Pm12HoTh7



Please write out number 3 again, unchanged.
# PBE-GGA Pm12HoTh7, relaxed
# * Fermi-level density of states: 43.0 states/eV/f.u.
# * final energy: -4.791 eV per atom
# * density: 7.5 Mg/m³
# * energy of formation: 0.885 eV/atom
data_Pm12HoTh7
_chemical_formula_sum 'Pm24 Ho2 Th14'
_symmetry_space_group_name_H-M 'I m -3'
_symmetry_Int_Tables_number 204
_symmetry_space_group_name_Hall '-I 2 2 3'
_cell_length_a 11.586
_cell_length_b 11.586
_cell_length_c 11.586
_cell_angle_alpha 90.00
_cell_angle_beta 90.00
_cell_angle_gamma 90.00
loop_
_atom_site_label
_atom_site_type_symbol
_atom_site_fract_x
_atom_site_fract_y
_atom_site_fract_z
Pm1 Pm 0.000 0.302 0.227
Ho1 Ho 0.000 0.000 0.000
Th1 Th 0.000 0.000 0.500
Th2 Th 0.250 0.250 0.250



Copy entry 1 word for word.
# PBE-GGA Pm2Ho5Th, relaxed
# * Fermi-level density of states: 11.3 states/eV/f.u.
# * final energy: -4.949 eV per atom
# * density: 8.7 Mg/m³
# * energy of formation: 0.028 eV/atom
data_Pm2Ho5Th
_chemical_formula_sum 'Pm4 Ho10 Th2'
_symmetry_space_group_name_H-M 'P b a m'
_symmetry_Int_Tables_number 55
_symmetry_space_group_name_Hall '-P 2 2ab'
_cell_length_a 7.112
_cell_length_b 14.255
_cell_length_c 5.058
_cell_angle_alpha 90.00
_cell_angle_beta 90.00
_cell_angle_gamma 90.00
loop_
_atom_site_label
_atom_site_type_symbol
_atom_site_fract_x
_atom_site_fract_y
_atom_site_fract_z
Pm1 Pm 0.249 0.124 0.000
Ho1 Ho 0.000 0.500 0.500
Ho2 Ho 0.006 0.249 0.500
Ho3 Ho 0.241 0.877 0.000
Th1 Th 0.000 0.000 0.500